VASP calculation (GGA-PBE) on a geometry-optimized Pr2Dy5Tm6 structure.

Computed properties:
Total moment, μB/f.u.: 0.0
E, eV per atom: -4.466
Calculated volume, Å³/atom: 32.06

Cell and atoms, written as CIF:
```
data_Pr2Dy5Tm6
_symmetry_space_group_name_H-M 'P b a m'
_symmetry_Int_Tables_number 55
_cell_length_a 11.641
_cell_length_b 20.133
_cell_length_c 3.557
_cell_angle_alpha 90.00
_cell_angle_beta 90.00
_cell_angle_gamma 90.00
loop_
_symmetry_equiv_pos_as_xyz
'x,y,z'
'-x,-y,-z'
'-x,-y,z'
'x,y,-z'
'x+1/2,-y+1/2,-z'
'-x+1/2,y+1/2,z'
'-x+1/2,y+1/2,-z'
'x+1/2,-y+1/2,z'
loop_
_atom_site_label
_atom_site_type_symbol
_atom_site_fract_x
_atom_site_fract_y
_atom_site_fract_z
Pr1 Pr 0.167 0.217 0.000
Dy1 Dy 0.000 0.500 0.500
Dy2 Dy 0.093 0.779 0.500
Dy3 Dy 0.200 0.051 0.500
Tm1 Tm 0.060 0.923 0.000
Tm2 Tm 0.077 0.635 0.000
Tm3 Tm 0.181 0.375 0.500
```